ScNbCuIr: relaxed, GGA-PBE.

Cell: 6.4029 6.4029 6.4029 Å, 90.00 90.00 90.00°
Atoms (fractional coordinates):
Sc: 0.0000 0.0000 0.0000
Sc: 0.0000 0.5000 0.5000
Sc: 0.5000 0.0000 0.5000
Sc: 0.5000 0.5000 0.0000
Nb: 0.0000 0.0000 0.5000
Nb: 0.0000 0.5000 0.0000
Nb: 0.5000 0.0000 0.0000
Nb: 0.5000 0.5000 0.5000
Cu: 0.2500 0.2500 0.2500
Cu: 0.2500 0.7500 0.7500
Cu: 0.7500 0.2500 0.7500
Cu: 0.7500 0.7500 0.2500
Ir: 0.2500 0.2500 0.7500
Ir: 0.2500 0.7500 0.2500
Ir: 0.7500 0.2500 0.2500
Ir: 0.7500 0.7500 0.7500

Summary:
- magnetic moment (Bohr magnetons per cell) = 0.03
- raw total energy (eV/atom) = -7.634

=====

Pa2Ga8Ni: relaxed, GGA-PBE.

Cell: 4.2867 4.2867 11.0971 Å, 90.00 90.00 90.00°
Atoms (fractional coordinates):
Pa: 0.0000 0.0000 0.1927
Pa: 0.0000 0.0000 0.8073
Ga: 0.0000 0.5000 0.0000
Ga: 0.0000 0.5000 0.3815
Ga: 0.0000 0.5000 0.6185
Ga: 0.5000 0.0000 0.0000
Ga: 0.5000 0.0000 0.3815
Ga: 0.5000 0.0000 0.6185
Ga: 0.5000 0.5000 0.1923
Ga: 0.5000 0.5000 0.8077
Ni: 0.0000 0.0000 0.5000

Summary:
- magnetic moment (Bohr magnetons per cell) = 0.04
- raw total energy (eV/atom) = -4.838